Record 1
# LiCuAsAu | the Alexandria database | PBE | optimized geometry
# spin magnetization: 0.00 μB/f.u.
# DFT formation energy: -190 meV per atom
# energy: -58.79 eV/cell
data_LiCuAsAu
_chemical_formula_sum 'Li4 Cu4 As4 Au4'
_space_group_name_H-M_alt 'F -4 3 m'
_space_group_IT_number 216
_space_group_name_Hall 'F -4 2 3'
_cell_length_a 6.2512
_cell_length_b 6.2512
_cell_length_c 6.2512
_cell_angle_alpha 90.00
_cell_angle_beta 90.00
_cell_angle_gamma 90.00
loop_
_atom_site_label
_atom_site_fract_x
_atom_site_fract_y
_atom_site_fract_z
Li1 0.0000 0.0000 0.0000
Cu1 0.0000 0.0000 0.5000
As1 0.2500 0.2500 0.2500
Au1 0.2500 0.2500 0.7500

Record 2
# Ba2Ag5Sn3 | the Alexandria database | PBE | optimized geometry
# spin magnetization: 0.00 μB/f.u.
# DFT formation energy: -325 meV per atom
# energy: -133.45 eV/cell
data_Ba2Ag5Sn3
_chemical_formula_sum 'Ba8 Ag20 Sn12'
_space_group_name_H-M_alt 'I b a m'
_space_group_IT_number 72
_space_group_name_Hall '-I 2 2c'
_cell_length_a 11.5485
_cell_length_b 13.4815
_cell_length_c 6.9396
_cell_angle_alpha 90.00
_cell_angle_beta 90.00
_cell_angle_gamma 90.00
loop_
_atom_site_label
_atom_site_fract_x
_atom_site_fract_y
_atom_site_fract_z
Ba1 0.2373 0.1244 0.0000
Ag1 0.0000 0.0000 0.2500
Ag2 0.0000 0.2664 0.2500
Ag3 0.1426 0.3849 0.0000
Sn1 0.0000 0.5000 0.2500
Sn2 0.1184 0.1339 0.5000

Record 3
# PmNpBi2O8 | the Alexandria database | PBE | optimized geometry
# spin magnetization: 0.06 μB/f.u.
# energy: -182.79 eV/cell
# formation energy (no corrections): -2.190 eV per atom
data_PmNpBi2O8
_chemical_formula_sum 'Pm2 Np2 Bi4 O16'
_space_group_name_H-M_alt 'C 1 2/m 1'
_space_group_IT_number 12
_cell_length_a 7.5100
_cell_length_b 7.5477
_cell_length_c 7.1477
_cell_angle_alpha 90.00
_cell_angle_beta 91.21
_cell_angle_gamma 90.00
loop_
_space_group_symop_operation_xyz
'x,y,z'
'-x,-y,-z'
'-x,y,-z'
'x,-y,z'
'x+1/2,y+1/2,z'
'-x+1/2,-y+1/2,-z'
'-x+1/2,y+1/2,-z'
'x+1/2,-y+1/2,z'
loop_
_atom_site_label
_atom_site_fract_x
_atom_site_fract_y
_atom_site_fract_z
Pm1 0.0000 0.0000 0.0000
Np1 0.0000 0.0000 0.5000
Bi1 0.0134 0.5000 0.2395
O1 0.0000 0.2556 0.5000
O2 0.0000 0.3130 0.0000
O3 0.1707 0.0000 0.2854
O4 0.1889 0.0000 0.7382

Record 4
# TbGa2Te3 | the Alexandria database | PBE | optimized geometry
# spin magnetization: 0.00 μB/f.u.
# energy: -47.38 eV/cell
# formation energy (no corrections): -0.597 eV per atom
data_TbGa2Te3
_chemical_formula_sum 'Tb2 Ga4 Te6'
_space_group_name_H-M_alt 'P 1 21/m 1'
_space_group_IT_number 11
_cell_length_a 8.9978
_cell_length_b 4.0601
_cell_length_c 9.6373
_cell_angle_alpha 90.00
_cell_angle_beta 96.08
_cell_angle_gamma 90.00
loop_
_space_group_symop_operation_xyz
'x,y,z'
'-x,-y,-z'
'-x,y+1/2,-z'
'x,-y+1/2,z'
loop_
_atom_site_label
_atom_site_fract_x
_atom_site_fract_y
_atom_site_fract_z
Tb1 0.1984 0.2500 0.1629
Ga1 0.0455 0.7500 0.3518
Ga2 0.4630 0.7500 0.9009
Te1 0.1630 0.7500 0.9127
Te2 0.2022 0.2500 0.5040
Te3 0.4448 0.7500 0.2886

Record 5
# CaAlFeC | the Alexandria database | PBE | optimized geometry
# spin magnetization: 0.00 μB/f.u.
# DFT formation energy: 5 meV per atom
# energy: -46.82 eV/cell
data_CaAlFeC
_chemical_formula_sum 'Ca2 Al2 Fe2 C2'
_space_group_name_H-M_alt 'P 4/n m m'
_space_group_IT_number 129
_cell_length_a 3.5882
_cell_length_b 3.5882
_cell_length_c 10.2082
_cell_angle_alpha 90.00
_cell_angle_beta 90.00
_cell_angle_gamma 90.00
loop_
_space_group_symop_operation_xyz
'x,y,z'
'-x,-y,-z'
'-y+1/2,x,z'
'y+1/2,-x,-z'
'-x+1/2,-y+1/2,z'
'x+1/2,y+1/2,-z'
'y,-x+1/2,z'
'-y,x+1/2,-z'
'x+1/2,-y,-z'
'-x+1/2,y,z'
'-y,-x,-z'
'y,x,z'
'-x,y+1/2,-z'
'x,-y+1/2,z'
'y+1/2,x+1/2,-z'
'-y+1/2,-x+1/2,z'
loop_
_atom_site_label
_atom_site_fract_x
_atom_site_fract_y
_atom_site_fract_z
Ca1 0.2500 0.2500 0.2287
Al1 0.2500 0.7500 0.5000
Fe1 0.2500 0.7500 0.0000
C1 0.2500 0.2500 0.9262

Record 6
# As2PbW | the Alexandria database | PBE | optimized geometry
# spin magnetization: 0.00 μB/f.u.
# DFT formation energy: 463 meV per atom
# energy: -72.32 eV/cell
data_As2PbW
_chemical_formula_sum 'As6 Pb3 W3'
_space_group_name_H-M_alt 'R 3 m'
_space_group_IT_number 160
_space_group_name_Hall 'R 3 -2"'
_cell_length_a 3.1746
_cell_length_b 3.1746
_cell_length_c 28.7594
_cell_angle_alpha 90.00
_cell_angle_beta 90.00
_cell_angle_gamma 120.00
loop_
_atom_site_label
_atom_site_fract_x
_atom_site_fract_y
_atom_site_fract_z
As1 0.0000 0.0000 0.0000
As2 0.0000 0.0000 0.2559
Pb1 0.0000 0.0000 0.4812
W1 0.0000 0.0000 0.7277